# 1
The following is a PBE calculation of an optimized crystal structure of Na2SbH2, from the Alexandria database.

The space group is P4/mbm (No. 127) and the conventional cell measures 8.320, 8.320 and 3.476 Å, with angles of 90.00, 90.00 and 90.00 degrees. The inequivalent atoms are Na at (0.217, 0.283, 0.000), Sb at (0.000, 0.000, 0.000) and H at (0.032, 0.532, 0.500).

Its mass density is 2.34 g/cm³. For the relative energy among the computed polymorphs, the calculation gives 0 meV per atom.

=====

# 2
The following is a PBE calculation of an optimized crystal structure of Na4Sb3H2, from the Alexandria database.

The space group is C2/c (No. 15) and the conventional cell measures 27.544, 6.963 and 5.745 Å, with angles of 90.00, 91.40 and 90.00 degrees. The inequivalent atoms are Na at (0.102, 0.181, 0.473), Na at (0.185, 0.136, 0.979), Sb at (0.000, 0.033, 0.750), Sb at (0.215, 0.410, 0.492) and H at (0.136, 0.004, 0.225).

Its mass density is 2.77 g/cm³. As for the electronic total energy: -100.05 eV per cell.

=====

# 3
The following is a PBE calculation of an optimized crystal structure of NaSbH2, from the Alexandria database.

The space group is P-1 (No. 2) and the conventional cell measures 4.065, 5.012 and 8.765 Å, with angles of 75.14, 88.00 and 89.61 degrees. The inequivalent atoms are Na at (0.238, 0.422, 0.176), Sb at (0.259, 0.054, 0.878), H at (0.034, 0.006, 0.539) and H at (0.464, 0.456, 0.539).

Its mass density is 2.83 g/cm³. For the relative energy among the computed polymorphs, the calculation gives 0 meV per atom.